Here is a relaxed DyTm3Sc2Se6 crystal from the Alexandria database. Energies are from PBE-GGA.

Geometry as POSCAR:
```
DyTm3Sc2Se6
1.0
6.9015 -0.0147 -0.0020
-3.4618 5.9705 -0.0020
-1.1492 -1.9898 6.5111
Tm Se Sc Dy
3 6 2 1
Direct
0.8391 0.1609 0.5000
0.5000 0.5000 0.5000
0.1609 0.8391 0.5000
0.4253 0.0821 0.2471
0.9179 0.5747 0.7529
0.2622 0.2622 0.7580
0.5747 0.9179 0.7529
0.0821 0.4253 0.2471
0.7378 0.7378 0.2420
0.3344 0.6656 0.0000
0.6656 0.3344 0.0000
0.0000 0.0000 0.0000
```

The uncorrected energy comes out at -71.38 eV/f.u. For the total magnetization, the calculation gives 0.000 μB per cell. The calculation puts the density of states at the Fermi level at 0.511 states/eV per atom.

=====

Here is a relaxed Dy2TmScSe6 crystal from the Alexandria database. Energies are from PBE-GGA.

Geometry as POSCAR:
```
Dy2TmScSe6
1.0
7.0765 0.0002 0.0003
3.5384 6.1284 0.0000
3.5381 2.0429 6.3763
Tm Sc Se Dy
1 1 6 2
Direct
0.8201 0.8201 0.5397
0.3221 0.3221 0.0336
0.4254 0.7093 0.7589
0.7094 0.1063 0.7589
0.2160 0.9376 0.2528
0.9376 0.5937 0.2528
0.1064 0.4254 0.7589
0.5936 0.2160 0.2528
0.5164 0.5163 0.4510
0.0147 0.0147 0.9559
```

The uncorrected energy comes out at -58.87 eV/f.u. For the total magnetization, the calculation gives 0.000 μB per cell. The calculation puts the density of states at the Fermi level at 0.000 states/eV per atom.

=====

Here is a relaxed Dy2TmScSe5 crystal from the Alexandria database. Energies are from PBE-GGA.

Geometry as POSCAR:
```
Dy2TmScSe5
1.0
-4.3896 -1.3410 2.1543
0.2886 -4.5404 -2.2381
5.0946 -3.6678 8.0977
Se Sc Dy Tm
5 1 2 1
Direct
0.0000 0.5000 0.5000
0.0000 0.0000 0.2391
0.5000 0.5000 0.0000
0.5000 0.0000 0.5000
0.0000 0.0000 0.7609
0.0000 0.0000 0.0000
0.5000 0.5000 0.7074
0.5000 0.5000 0.2926
0.0000 0.0000 0.5000
```

The uncorrected energy comes out at -47.21 eV/f.u. For the total magnetization, the calculation gives 0.000 μB per cell. The calculation puts the density of states at the Fermi level at 0.777 states/eV per atom.